Pm6NdTl6: relaxed, PBE.

Output
Crystal system: hexagonal
Calculated total energy (eV for the cell shown): -50.444
Calculated formation energy (eV per atom): -0.229

Cell lengths 6.514, 6.514, 10.929 Å; angles 90.00, 90.00, 120.00 degrees
Last column: magnetic moment on the atom in μB.
Element x y z (fractional)
Pm: 0.333 0.667 0.500  0.14
Pm: 0.667 0.333 0.000  0.04
Pm: 0.000 0.000 0.665  0.26
Pm: 0.333 0.667 0.000  0.04
Pm: 0.667 0.333 0.500  0.14
Pm: 0.000 0.000 0.335  0.26
Tl: 0.000 0.500 0.246  0.00
Tl: 0.500 0.000 0.246  0.00
Tl: 0.500 0.000 0.754  0.00
Tl: 0.500 0.500 0.246  0.00
Tl: 0.000 0.500 0.754  0.00
Tl: 0.500 0.500 0.754  0.00
Nd: 0.000 0.000 0.000  0.14

Pm4Nd5Tl: relaxed, PBE.

Output
Crystal system: tetragonal
Calculated total energy (eV for the cell shown): -45.037
Relative energy among the computed polymorphs (meV/atom): 0
Calculated formation energy (eV per atom): 0.017

Cell lengths 4.277, 4.277, 18.351 Å; angles 90.00, 90.00, 90.00 degrees
Element x y z (fractional)
Nd: 0.500 0.500 0.089
Nd: 0.500 0.500 0.295
Nd: 0.500 0.500 0.911
Nd: 0.500 0.500 0.705
Nd: 0.500 0.500 0.500
Pm: 0.000 0.000 0.399
Pm: 0.000 0.000 0.601
Pm: 0.000 0.000 0.197
Pm: 0.000 0.000 0.803
Tl: 0.000 0.000 0.000

Pm4Nd4Tl: relaxed, PBE.

Output
Crystal system: tetragonal
Calculated total energy (eV for the cell shown): -40.807
Calculated formation energy (eV per atom): -0.041

Cell lengths 5.020, 8.141, 8.141 Å; angles 84.55, 72.04, 72.04 degrees
Element x y z (fractional)
Tl: 0.000 0.000 0.000
Nd: 0.339 0.000 0.322
Nd: 0.661 0.000 0.678
Nd: 0.661 0.678 0.000
Nd: 0.339 0.322 0.000
Pm: 0.335 0.665 0.665
Pm: 0.665 0.335 0.335
Pm: 0.000 0.665 0.335
Pm: 0.000 0.335 0.665

Pm7NdTl4: relaxed, PBE.

Output
Crystal system: monoclinic
Calculated total energy (eV for the cell shown): -48.333
Calculated formation energy (eV per atom): -0.070

Cell lengths 5.880, 9.493, 8.006 Å; angles 73.83, 68.45, 71.96 degrees
Element x y z (fractional)
Nd: 0.000 0.000 0.000
Pm: 0.276 0.662 0.787
Pm: 0.062 0.605 0.271
Pm: 0.500 0.000 0.000
Pm: 0.938 0.395 0.729
Pm: 0.795 0.881 0.529
Pm: 0.205 0.119 0.471
Pm: 0.724 0.338 0.213
Tl: 0.687 0.667 0.959
Tl: 0.558 0.253 0.632
Tl: 0.313 0.333 0.041
Tl: 0.442 0.747 0.368

Pm7Nd3Tl: relaxed, PBE.

Output
Crystal system: trigonal
Calculated total energy (eV for the cell shown): -48.657
Calculated formation energy (eV per atom): 0.115

Cell lengths 8.741, 7.135, 7.135 Å; angles 120.00, 90.00, 90.00 degrees
Element x y z (fractional)
Pm: 0.446 0.831 0.169
Pm: 0.446 0.338 0.169
Pm: 0.124 0.169 0.337
Pm: 0.446 0.831 0.662
Pm: 0.124 0.169 0.831
Pm: 0.124 0.663 0.831
Pm: 0.111 0.667 0.333
Nd: 0.781 0.500 0.000
Nd: 0.781 0.500 0.500
Nd: 0.781 0.000 0.500
Tl: 0.450 0.333 0.667

Pm2Nd8Tl: relaxed, PBE.

Output
Crystal system: orthorhombic
Calculated total energy (eV for the cell shown): -49.772
Relative energy among the computed polymorphs (meV/atom): 64
Calculated formation energy (eV per atom): 0.022

Cell lengths 5.655, 7.754, 10.044 Å; angles 112.70, 106.35, 90.00 degrees
Element x y z (fractional)
Nd: 0.000 0.259 0.000
Nd: 0.363 0.590 0.727
Nd: 0.363 0.136 0.727
Nd: 0.637 0.410 0.273
Nd: 0.637 0.864 0.273
Nd: 0.000 0.741 0.000
Nd: 0.178 0.178 0.356
Nd: 0.822 0.822 0.644
Pm: 0.192 0.692 0.385
Pm: 0.808 0.308 0.615
Tl: 0.500 0.000 0.000

What ρ values result from the calculations? In sequence: 9.265 7.448 7.508 8.453 7.118 7.074 g/cm³.